Below is an optimized crystal structure of LiSm2AlPd6, with properties calculated at the PBE level.

```
LiSm2AlPd6
1.0
4.933 -2.848 0.000
4.933 2.848 0.000
-3.267 0.000 7.639
Li Sm Al Pd
1 2 1 6
direct
0.000 0.000 0.000
0.206 0.206 0.618
0.794 0.794 0.382
0.500 0.500 0.500
0.239 0.747 0.735
0.253 0.253 0.264
0.253 0.761 0.265
0.747 0.239 0.735
0.747 0.747 0.736
0.761 0.253 0.265
```

Calculated values
M_tot	0.000	μB per atom
crystal system	monoclinic
final energy	-5.233	eV per atom

Below is an optimized crystal structure of CaSmNi2P2, with properties calculated at the PBE level.

```
CaSmNi2P2
1.0
3.913 0.000 0.000
-1.956 3.388 0.000
0.000 0.000 8.108
Ca Sm Ni P
1 1 2 2
direct
0.000 0.000 0.000
0.000 0.000 0.500
0.333 0.667 0.255
0.667 0.333 0.745
0.333 0.667 0.746
0.667 0.333 0.254
```

Calculated values
M_tot	0.000	μB per atom
crystal system	trigonal
final energy	-5.918	eV per atom

Below is an optimized crystal structure of KVHg2Se, with properties calculated at the PBE level.

```
KVHg2Se
1.0
5.488 0.000 0.000
0.000 5.488 0.000
0.000 0.000 5.978
K V Hg Se
1 1 2 1
direct
0.000 0.000 0.000
0.500 0.500 0.000
0.000 0.500 0.500
0.500 0.000 0.500
0.000 0.000 0.500
```

Calculated values
M_tot	0.842	μB per atom
ΔE_f (raw)	0.69	eV/atom
crystal system	tetragonal

Copy entry 3 word for word.
Below is an optimized crystal structure of KVHg2Se, with properties calculated at the PBE level.

```
KVHg2Se
1.0
5.488 0.000 0.000
0.000 5.488 0.000
0.000 0.000 5.978
K V Hg Se
1 1 2 1
direct
0.000 0.000 0.000
0.500 0.500 0.000
0.000 0.500 0.500
0.500 0.000 0.500
0.000 0.000 0.500
```

Calculated values
M_tot	0.842	μB per atom
ΔE_f (raw)	0.69	eV/atom
crystal system	tetragonal

What is the M_tot in the first record? 0.000 μB per atom